[1]
Crystalline TaNiAg2 at its relaxed geometry. Source: Alexandria, functional PBE-GGA.

a = 5.345 Å, b = 8.805 Å, c = 2.769 Å
α = 90.00°, β = 90.00°, γ = 90.00°
Space group Cmmm (No. 65)
One atom of each set of equivalent atoms:
Ta: 0.000 0.000 0.000 (multiplicity 2)
Ni: 0.000 0.500 0.000 (multiplicity 2)
Ag: 0.250 0.250 0.500 (multiplicity 4)

* ΔE_f: 1.70 eV/f.u.
* DFT total energy: -5.4099 eV/atom
* V: 16.3 Å³ per atom

[2]
Crystalline TaNiAg4 at its relaxed geometry. Source: Alexandria, functional PBE-GGA.

a = 7.492 Å, b = 7.492 Å, c = 7.492 Å
α = 90.00°, β = 90.00°, γ = 90.00°
Space group F-43m (No. 216)
One atom of each set of equivalent atoms:
Ta: 0.000 0.000 0.000 (multiplicity 4)
Ni: 0.250 0.250 0.250 (multiplicity 4)
Ag: 0.125 0.125 0.625 (multiplicity 16)

* ΔE_f: 3.74 eV/f.u.
* DFT total energy: -4.2171 eV/atom
* V: 17.5 Å³ per atom

[3]
Crystalline Ta2NiAg at its relaxed geometry. Source: Alexandria, functional PBE-GGA.

a = 3.105 Å, b = 3.384 Å, c = 6.214 Å
α = 90.00°, β = 90.00°, γ = 90.00°
Space group Pmm2 (No. 25)
One atom of each set of equivalent atoms:
Ta: 0.000 0.000 0.000 (multiplicity 1)
Ta: 0.500 0.500 0.278 (multiplicity 1)
Ni: 0.500 0.500 0.796 (multiplicity 1)
Ag: 0.000 0.000 0.549 (multiplicity 1)

* ΔE_f: 0.34 eV/f.u.
* DFT total energy: -7.9992 eV/atom
* V: 16.3 Å³ per atom

[4]
Crystalline TaNiAg2 at its relaxed geometry. Source: Alexandria, functional PBE-GGA.

a = 6.353 Å, b = 6.353 Å, c = 6.353 Å
α = 90.00°, β = 90.00°, γ = 90.00°
Space group Fm-3m (No. 225)
One atom of each set of equivalent atoms:
Ta: 0.000 0.000 0.000 (multiplicity 4)
Ni: 0.000 0.000 0.500 (multiplicity 4)
Ag: 0.250 0.250 0.250 (multiplicity 8)

* ΔE_f: 1.87 eV/f.u.
* DFT total energy: -5.3669 eV/atom
* V: 16.0 Å³ per atom

Q: The lowest DFT total energy belongs to which entry?
A: Ta2NiAg

Q: Which formula does entry 4 have?
A: TaNiAg2

Q: Which formula does entry 3 have?
A: Ta2NiAg

Please write out number 4 again, unchanged.
Crystalline TaNiAg2 at its relaxed geometry. Source: Alexandria, functional PBE-GGA.

a = 6.353 Å, b = 6.353 Å, c = 6.353 Å
α = 90.00°, β = 90.00°, γ = 90.00°
Space group Fm-3m (No. 225)
One atom of each set of equivalent atoms:
Ta: 0.000 0.000 0.000 (multiplicity 4)
Ni: 0.000 0.000 0.500 (multiplicity 4)
Ag: 0.250 0.250 0.250 (multiplicity 8)

* ΔE_f: 1.87 eV/f.u.
* DFT total energy: -5.3669 eV/atom
* V: 16.0 Å³ per atom